PuTh2Au6 after structural relaxation, computed with PBE-GGA.

Cell lengths 3.3933, 8.3537, 8.3537 Å; angles 120.00, 90.00, 90.00 degrees
Element x y z (fractional)
Th: 0.0000 0.6667 0.3333
Au: 0.5000 0.3324 0.0000
Pu: 0.0000 0.0000 0.0000
Au: 0.5000 0.6676 0.0000
Au: 0.5000 0.3324 0.3324
Au: 0.5000 0.0000 0.3324
Au: 0.5000 0.0000 0.6676
Au: 0.5000 0.6676 0.6676
Th: 0.0000 0.3333 0.6667

Magnetic moment in μB per cell: 5.62
Formation enthalpy at 0 K in meV per atom: -619
Electronic total energy in eV/atom: -6.045

---

ZrN2ClF after structural relaxation, computed with PBE-GGA.

Cell lengths 4.4220, 4.4220, 4.1954 Å; angles 90.00, 90.00, 90.00 degrees
Element x y z (fractional)
N: 0.0000 0.5000 0.0000
Cl: 0.5000 0.5000 0.5000
N: 0.5000 0.0000 0.0000
Zr: 0.0000 0.0000 0.0000
F: 0.0000 0.0000 0.5000

Excess energy over the best structure of this formula in the dataset in meV/atom: 0
Magnetic moment in μB per cell: 3.98
Electronic total energy in eV/atom: -5.971

---

KSbW2 after structural relaxation, computed with PBE-GGA.

Cell lengths 2.9352, 2.9352, 10.5972 Å; angles 90.00, 90.00, 111.39 degrees
Element x y z (fractional)
Sb: 0.5000 0.5000 0.7500
W: 0.0000 0.0000 0.9613
K: 0.5000 0.5000 0.2500
W: 0.0000 0.0000 0.5387

Magnetic moment in μB per cell: 0.00
Electronic total energy in eV/atom: -6.517

---

Pr2Ga2Ni2H after structural relaxation, computed with PBE-GGA.

Cell lengths 4.3334, 5.9726, 5.6061 Å; angles 75.89, 67.26, 68.73 degrees
Element x y z (fractional)
Ga: 0.8303 0.6040 0.7354
Ga: 0.1697 0.3960 0.2646
Ni: 0.1935 0.7429 0.8702
Pr: 0.5462 0.1925 0.7152
H: 0.0000 0.0000 0.0000
Pr: 0.4538 0.8075 0.2848
Ni: 0.8065 0.2571 0.1298

Magnetic moment in μB per cell: 0.00
Electronic total energy in eV/atom: -4.876